# LaCuAs2Os

LaCuAs2Os after structural relaxation (GGA-PBE, the Alexandria database).

Cell and atoms, written as extended XYZ:
```
5
Lattice="4.8179 0.0000 0.0000 0.0000 4.7379 0.0000 0.0000 0.0000 4.8179" Properties=species:S:1:pos:R:3 pbc="T T T"
As 0.0000 0.0000 2.4090
As 2.4090 0.0000 0.0000
Os 0.0000 0.0000 0.0000
Cu 0.0000 2.3689 0.0000
La 2.4090 2.3689 2.4090
```

Computed properties:
- Space group: P4/mmm
- Total moment: 0.000 Bohr magnetons per cell
- Formation energy from the elements: -0.347 eV/f.u.
- Volume: 110 Å³ per cell
- Calculated total energy: -5.9800 eV/atom
- N(E_F): 6.0 states/eV/f.u.

# Ce2Ga6Pd

Ce2Ga6Pd after structural relaxation (GGA-PBE, the Alexandria database).

Cell and atoms, written as extended XYZ:
```
9
Lattice="-1.2881 -4.4193 -0.8532 3.1201 -0.2371 -3.4823 5.9688 -2.8090 5.5392" Properties=species:S:1:pos:R:3 pbc="T T T"
Ce 5.3692 -4.4240 1.9650
Ce 2.4316 -3.0415 -0.7612
Ga -0.6440 -2.2097 -0.4266
Ga 2.3403 -3.6142 2.3430
Ga 1.5601 -0.1186 -1.7411
Ga 4.5444 -1.5231 1.0285
Ga 4.1534 -1.9547 3.8545
Ga 1.8154 -0.8544 1.6848
Pd 0.0000 0.0000 0.0000
```

Computed properties:
- Space group: P4/mmm
- Total moment: 2.090 Bohr magnetons per cell
- Formation energy from the elements: -3.908 eV/f.u.
- Volume: 189 Å³ per cell
- Calculated total energy: -4.3478 eV/atom
- N(E_F): 14.1 states/eV/f.u.

# AlIn5I8

AlIn5I8 after structural relaxation (GGA-PBE, the Alexandria database).

Cell and atoms, written as extended XYZ:
```
14
Lattice="8.8678 -0.9519 -4.4163 -5.2477 8.3901 -1.0561 -0.5953 0.9519 9.8887" Properties=species:S:1:pos:R:3 pbc="T T T"
Al 0.3493 6.0546 -0.5280
In 2.8396 5.2973 4.6816
In 1.3637 1.1870 2.5302
In 1.0822 1.6586 7.3675
In -2.9215 4.6710 4.4163
In 5.4163 1.1991 5.1983
I 0.2102 3.4933 -0.2944
I 1.4891 7.0505 1.5561
I 4.4936 2.4313 -2.7238
I 4.1413 2.9765 2.7163
I -2.7339 7.9995 4.1449
I -2.0240 7.0311 -0.7474
I 1.7220 6.6437 -2.6264
I 0.1486 3.3730 4.6952
```

Computed properties:
- Space group: I-4
- Total moment: 0.000 Bohr magnetons per cell
- Volume: 695 Å³ per cell
- Calculated total energy: -2.6342 eV/atom
- N(E_F): 0.0 states/eV/f.u.

# SnH2I2Cl2

SnH2I2Cl2 after structural relaxation (GGA-PBE, the Alexandria database).

Cell and atoms, written as extended XYZ:
```
7
Lattice="-0.7759 -0.9137 -4.0096 -6.4255 -3.9316 -0.0447 -3.9390 5.6806 -2.7163" Properties=species:S:1:pos:R:3 pbc="T T T"
Sn 0.0000 0.0000 0.0000
H -4.8533 0.6927 -1.4027
H -6.2870 0.1425 -5.3679
I -4.2582 3.1787 -4.2684
I -6.8821 -2.3435 -2.5022
Cl -8.0167 1.7395 -3.2131
Cl -3.1237 -0.9043 -3.5575
```

Computed properties:
- Space group: C2/m
- Total moment: 0.000 Bohr magnetons per cell
- Volume: 216 Å³ per cell
- Calculated total energy: -2.8969 eV/atom